A plane-wave DFT calculation with PBE-GGA was carried out for a geometry-optimized CeLuZnPd structure.

Summary:
Formation energy, kcal/mol of atoms: -11.5
SG: F-43m, No. 216
Total energy, eV/atom: -4.73

Lattice parameters (Å, degrees): 5.0081 5.0081 5.0081 60.00 60.00 60.00
Fractional positions:
Lu1 0.2500 0.2500 0.2500
Pd1 0.5000 0.5000 0.5000
Zn1 0.0000 0.0000 0.0000
Ce1 0.7500 0.7500 0.7500